Entry from Alexandria via LeMat-Bulk: a geometry-optimized RuRh2 structure (PBE-GGA).

Results
The value obtained for the final energy is -7.113 eV per atom. For the total moment, the calculation gives 0.00 μB per cell. Its energy of formation is 0.880 eV per atom. As for the distance to the lowest polymorph of the same formula: 2.61 eV/f.u. As for the symmetry: Pa-3 (205).

Unit cell a=5.923 b=5.923 c=5.923 alpha=90.00 beta=90.00 gamma=90.00
Fractional positions:
Ru (0.000, 0.000, 0.000)
Ru (0.000, 0.500, 0.500)
Rh (0.118, 0.618, 0.882)
Rh (0.882, 0.382, 0.118)
Ru (0.500, 0.500, 0.000)
Rh (0.118, 0.882, 0.382)
Rh (0.618, 0.882, 0.118)
Rh (0.382, 0.382, 0.382)
Rh (0.618, 0.618, 0.618)
Ru (0.500, 0.000, 0.500)
Rh (0.882, 0.118, 0.618)
Rh (0.382, 0.118, 0.882)